1.
The following is a DFT calculation (PBE-GGA) of an optimized crystal structure of TiGePt3.

Properties
Polymorph energy (0 for the lowest one) = 0.0000 eV per atom
Total magnetization = 0.00 Bohr magnetons per cell
Density of states at the Fermi level = 6.52 states/eV/f.u.
V = 98.5 Å³ per cell
Energy of formation = 1.75 eV/f.u.

```
data_TiGePt3
_cell_length_a 4.618
_cell_length_b 4.618
_cell_length_c 4.618
_cell_angle_alpha 90.00
_cell_angle_beta 90.00
_cell_angle_gamma 90.00
_space_group_name_H-M_alt 'P m -3 m'
_space_group_IT_number 221
_space_group_name_Hall '-P 4 2 3'
loop_
_atom_site_label
_atom_site_fract_x
_atom_site_fract_y
_atom_site_fract_z
Ti1 0.000 0.000 0.000
Ge1 0.500 0.500 0.500
Pt1 0.000 0.500 0.500
```

=====

2.
The following is a DFT calculation (PBE-GGA) of an optimized crystal structure of Tm2TiGe4Pt3.

Properties
Total magnetization = 0.00 Bohr magnetons per cell
Density of states at the Fermi level = 5.39 states/eV/f.u.
V = 186.7 Å³ per cell
Energy of formation = -8.33 eV/f.u.

```
data_Tm2TiGe4Pt3
_cell_length_a 4.080
_cell_length_b 4.080
_cell_length_c 11.216
_cell_angle_alpha 90.00
_cell_angle_beta 90.00
_cell_angle_gamma 90.00
_space_group_name_H-M_alt 'P -4 m 2'
_space_group_IT_number 115
loop_
_space_group_symop_operation_xyz
'x,y,z'
'y,-x,-z'
'-x,-y,z'
'-y,x,-z'
'-x,y,z'
'-y,-x,-z'
'x,-y,z'
'y,x,-z'
loop_
_atom_site_label
_atom_site_fract_x
_atom_site_fract_y
_atom_site_fract_z
Tm1 0.000 0.500 0.249
Ti1 0.500 0.500 0.000
Ge1 0.000 0.000 0.500
Ge2 0.000 0.500 0.858
Ge3 0.500 0.500 0.500
Pt1 0.000 0.000 0.000
Pt2 0.000 0.500 0.639
```

=====

3.
The following is a DFT calculation (PBE-GGA) of an optimized crystal structure of U2TiGe4Pt3.

Properties
Total magnetization = 5.43 Bohr magnetons per cell
Density of states at the Fermi level = 16.52 states/eV/f.u.
V = 189.1 Å³ per cell
Energy of formation = -5.47 eV/f.u.

```
data_U2TiGe4Pt3
_cell_length_a 4.181
_cell_length_b 4.181
_cell_length_c 10.816
_cell_angle_alpha 90.00
_cell_angle_beta 90.00
_cell_angle_gamma 90.00
_space_group_name_H-M_alt 'P -4 m 2'
_space_group_IT_number 115
loop_
_space_group_symop_operation_xyz
'x,y,z'
'y,-x,-z'
'-x,-y,z'
'-y,x,-z'
'-x,y,z'
'-y,-x,-z'
'x,-y,z'
'y,x,-z'
loop_
_atom_site_label
_atom_site_fract_x
_atom_site_fract_y
_atom_site_fract_z
U1 0.000 0.500 0.248
Ti1 0.500 0.500 0.000
Ge1 0.000 0.000 0.500
Ge2 0.000 0.500 0.859
Ge3 0.500 0.500 0.500
Pt1 0.000 0.000 0.000
Pt2 0.000 0.500 0.632
```

=====

4.
The following is a DFT calculation (PBE-GGA) of an optimized crystal structure of TiGePtW2.

Properties
Total magnetization = 0.80 Bohr magnetons per cell
Density of states at the Fermi level = 6.07 states/eV/f.u.
V = 109.9 Å³ per cell
Energy of formation = 7.39 eV/f.u.

```
data_TiGePtW2
_cell_length_a 4.824
_cell_length_b 4.824
_cell_length_c 4.722
_cell_angle_alpha 90.00
_cell_angle_beta 90.00
_cell_angle_gamma 90.00
_space_group_name_H-M_alt 'P 4/m m m'
_space_group_IT_number 123
_space_group_name_Hall '-P 4 2'
loop_
_atom_site_label
_atom_site_fract_x
_atom_site_fract_y
_atom_site_fract_z
Ti1 0.000 0.000 0.000
Ge1 0.500 0.500 0.000
Pt1 0.000 0.000 0.500
W1 0.000 0.500 0.500
```

=====

5.
The following is a DFT calculation (PBE-GGA) of an optimized crystal structure of TiGe2PtW.

Properties
Total magnetization = 0.86 Bohr magnetons per cell
Density of states at the Fermi level = 3.68 states/eV/f.u.
V = 103.2 Å³ per cell
Energy of formation = 5.91 eV/f.u.

```
data_TiGe2PtW
_cell_length_a 4.732
_cell_length_b 4.732
_cell_length_c 4.608
_cell_angle_alpha 90.00
_cell_angle_beta 90.00
_cell_angle_gamma 90.00
_space_group_name_H-M_alt 'P 4/m m m'
_space_group_IT_number 123
_space_group_name_Hall '-P 4 2'
loop_
_atom_site_label
_atom_site_fract_x
_atom_site_fract_y
_atom_site_fract_z
Ti1 0.000 0.000 0.000
Ge1 0.000 0.500 0.000
Pt1 0.500 0.500 0.500
W1 0.000 0.000 0.500
```

=====

6.
The following is a DFT calculation (PBE-GGA) of an optimized crystal structure of Y2TiGe4Pt3.

Properties
Total magnetization = 0.00 Bohr magnetons per cell
Density of states at the Fermi level = 3.67 states/eV/f.u.
V = 189.7 Å³ per cell
Energy of formation = -8.76 eV/f.u.

```
data_Y2TiGe4Pt3
_cell_length_a 4.138
_cell_length_b 4.138
_cell_length_c 11.080
_cell_angle_alpha 90.00
_cell_angle_beta 90.00
_cell_angle_gamma 90.00
_space_group_name_H-M_alt 'P -4 m 2'
_space_group_IT_number 115
loop_
_space_group_symop_operation_xyz
'x,y,z'
'y,-x,-z'
'-x,-y,z'
'-y,x,-z'
'-x,y,z'
'-y,-x,-z'
'x,-y,z'
'y,x,-z'
loop_
_atom_site_label
_atom_site_fract_x
_atom_site_fract_y
_atom_site_fract_z
Y1 0.000 0.500 0.250
Ti1 0.000 0.000 0.500
Ge1 0.000 0.000 0.000
Ge2 0.000 0.500 0.641
Ge3 0.500 0.500 0.000
Pt1 0.000 0.500 0.865
Pt2 0.500 0.500 0.500
```